Entry 1:
Computed, not measured: a relaxed structure of Nb2InGaNi2 at the PBE level of DFT.

The structure in POSCAR format:
```
Nb2InGaNi2
1.0
10.176 0.000 0.000
0.000 4.150 0.000
-3.405 0.000 9.615
Ga In Nb Ni
4 4 8 8
direct
0.750 0.000 0.001
0.125 0.500 0.126
0.499 0.000 0.250
0.251 0.000 0.498
0.876 0.500 0.373
0.624 0.500 0.626
0.001 0.000 0.752
0.373 0.500 0.877
0.251 0.000 0.010
0.623 0.500 0.125
0.004 0.000 0.248
0.371 0.500 0.371
0.745 0.000 0.494
0.129 0.500 0.619
0.501 0.000 0.750
0.877 0.500 0.885
0.002 0.000 0.008
0.374 0.500 0.131
0.743 0.000 0.243
0.130 0.500 0.372
0.493 0.000 0.493
0.874 0.500 0.624
0.252 0.000 0.742
0.631 0.500 0.882
```

## Properties
Calculated total energy = -6.39 eV per atom
Symmetry = Pm, No. 6


Entry 2:
Computed, not measured: a relaxed structure of PmPd4Au at the PBE level of DFT.

The structure in POSCAR format:
```
PmPd4Au
1.0
-2.139 -4.591 1.749
-1.665 -0.417 5.076
-5.240 -0.271 1.087
Au Pd Pm
1 4 1
direct
0.000 0.000 0.000
0.625 0.625 0.124
0.625 0.124 0.625
0.124 0.625 0.625
0.625 0.625 0.625
0.250 0.250 0.250
```

## Properties
Symmetry = F-43m, No. 216
Formation energy from the elements = -0.5948 eV per atom


Entry 3:
Computed, not measured: a relaxed structure of LiInCoAg at the PBE level of DFT.

The structure in POSCAR format:
```
LiInCoAg
1.0
-2.233 -3.423 1.678
-4.281 -0.529 -0.958
-1.282 -3.307 -2.635
Ag Co In Li
1 1 1 1
direct
0.500 0.500 0.500
0.750 0.750 0.750
0.000 0.000 0.000
0.250 0.250 0.250
```

## Properties
Symmetry = F-43m, No. 216
Relative energy among the computed polymorphs = 0 meV per atom


no.,total magnetic moment (μB per formula unit),ρ (g cm⁻³)
1,0.001,7.979
2,0.002,11.718
3,0.415,7.856